PmZn2H7 | PBE | relaxed

abc: 3.4552 5.4414 5.4414
angles: 109.70 90.00 90.00
Closest atoms and distances in Å follow each position.
Element x y z (fractional)
1 Pm 0.0000 0.0000 0.0000  10 H 2.34-2.39
2 Zn 0.5000 0.6937 0.3063  3 H 1.72-1.76
3 H 0.5000 0.6973 0.9481  2 Zn 1.96-2.11
4 Zn 0.5000 0.3063 0.6937  3 H 1.72-1.76
5 H 0.5000 0.3027 0.0519  2 Zn 1.96-2.11
6 H 0.5000 0.9481 0.6973  2 Zn 1.96-2.11
7 H 0.5000 0.0519 0.3027  2 Zn 1.96-2.11
8 H 0.5000 0.5000 0.5000  2 Zn 1.72
9 H 0.0000 0.2691 0.7309  2 Zn 1.76
10 H 0.0000 0.7309 0.2691  2 Zn 1.76

Properties
The space-group type is No. 65.

Pm5Zr3H12 | PBE | relaxed

abc: 11.1376 11.1376 11.1376
angles: 109.47 109.47 109.47
Closest atoms and distances in Å follow each position.
Element x y z (fractional)
1 Pm 0.1250 0.7500 0.3750  4 H 2.27
2 H 0.8353 0.5707 0.9176  1 H 1.99, 1 Zr 2.17
3 Zr 0.8750 0.1250 0.2500  8 H 2.17-2.27
4 Pm 0.2500 0.8750 0.1250  4 H 2.27
5 H 0.7354 0.5707 0.1531  1 H 1.99, 1 Zr 2.17
6 H 0.9177 0.3353 0.2646  1 H 1.99, 1 Zr 2.17
7 H 0.8469 0.9176 0.0823  1 H 1.99, 1 Zr 2.17
8 Pm 0.6250 0.8750 0.2500  4 H 2.27
9 H 0.0824 0.1531 0.4177  1 H 1.99, 1 Zr 2.17
10 H 0.2646 0.4293 0.8469  1 H 1.99, 1 Zr 2.17
11 Pm 0.8750 0.2500 0.6250  4 H 2.27
12 Pm 0.3750 0.2500 0.1250  4 H 2.27
13 H 0.5707 0.7354 0.6531  1 H 1.99, 1 Zr 2.17
14 Zr 0.7500 0.8750 0.6250  8 H 2.17-2.27
15 H 0.5824 0.9177 0.6531  1 H 1.99, 1 Zr 2.17
16 Zr 0.2500 0.6250 0.8750  8 H 2.17-2.27
17 H 0.3353 0.9177 0.7646  1 H 1.99, 1 Zr 2.17
18 Pm 0.7500 0.6250 0.3750  4 H 2.27
19 H 0.4293 0.2646 0.3469  1 H 1.99, 1 Zr 2.17
20 H 0.5707 0.8353 0.4176  1 H 1.99, 1 Zr 2.17
21 H 0.4177 0.6531 0.0824  1 H 1.99, 1 Zr 2.17
22 Zr 0.3750 0.7500 0.6250  8 H 2.17-2.27
23 Pm 0.5000 0.5000 0.5000  6 H 2.27
24 H 0.3469 0.7646 0.4293  1 H 1.99, 1 Zr 2.17
25 H 0.0823 0.4176 0.8469  1 H 1.99, 1 Zr 2.17
26 H 0.2646 0.8353 0.9177  1 H 1.99, 1 Zr 2.17
27 Zr 0.1250 0.8750 0.7500  8 H 2.17-2.27
28 Pm 0.7500 0.1250 0.8750  4 H 2.27
29 H 0.9176 0.0707 0.8353  1 H 1.99, 1 Zr 2.17
30 H 0.6531 0.4177 0.5824  1 H 1.99, 1 Zr 2.17
31 H 0.7354 0.1647 0.0823  1 H 1.99, 1 Zr 2.17
32 H 0.7646 0.3469 0.9293  1 H 1.99, 1 Zr 2.17
33 H 0.4176 0.3353 0.5707  1 H 1.99, 1 Zr 2.17
34 H 0.0823 0.6647 0.7354  1 H 1.99, 1 Zr 2.17
35 H 0.9176 0.8469 0.5823  1 H 1.99, 1 Zr 2.17
36 Pm 0.2500 0.3750 0.6250  4 H 2.27
37 Pm 0.0000 0.5000 0.0000  6 H 2.27
38 H 0.2354 0.6531 0.0707  1 H 1.99, 1 Zr 2.17
39 H 0.1647 0.4293 0.0824  1 H 1.99, 1 Zr 2.17
40 Pm 0.5000 0.5000 0.0000  6 H 2.27
41 H 0.8353 0.2646 0.4177  1 H 1.99, 1 Zr 2.17
42 H 0.6647 0.0823 0.2354  1 H 1.99, 1 Zr 2.17
43 Zr 0.1250 0.2500 0.8750  8 H 2.17-2.27
44 H 0.8469 0.9293 0.2646  1 H 1.99, 1 Zr 2.17
45 H 0.5823 0.3469 0.9176  1 H 1.99, 1 Zr 2.17
46 H 0.1531 0.0707 0.7354  1 H 1.99, 1 Zr 2.17
47 Zr 0.2500 0.1250 0.3750  8 H 2.17-2.27
48 Zr 0.8750 0.7500 0.1250  8 H 2.17-2.27
49 Pm 0.3750 0.1250 0.7500  4 H 2.27
50 H 0.3353 0.4176 0.0707  1 H 1.99, 1 Zr 2.17
51 H 0.5823 0.2354 0.1647  1 H 1.99, 1 Zr 2.17
52 H 0.0824 0.9293 0.1647  1 H 1.99, 1 Zr 2.17
53 H 0.5824 0.6647 0.4293  1 H 1.99, 1 Zr 2.17
54 Zr 0.6250 0.2500 0.3750  8 H 2.17-2.27
55 H 0.9177 0.5824 0.1531  1 H 1.99, 1 Zr 2.17
56 Pm 0.0000 0.0000 0.5000  6 H 2.27
57 Pm 0.8750 0.6250 0.7500  4 H 2.27
58 H 0.7646 0.4177 0.3353  1 H 1.99, 1 Zr 2.17
59 Pm 0.6250 0.7500 0.8750  4 H 2.27
60 H 0.1531 0.0824 0.9177  1 H 1.99, 1 Zr 2.17
61 H 0.4176 0.0823 0.3469  1 H 1.99, 1 Zr 2.17
62 H 0.4293 0.1647 0.5824  1 H 1.99, 1 Zr 2.17
63 H 0.6647 0.5824 0.9293  1 H 1.99, 1 Zr 2.17
64 Zr 0.6250 0.3750 0.7500  8 H 2.17-2.27
65 Pm 0.0000 0.0000 0.0000  6 H 2.27
66 Pm 0.1250 0.3750 0.2500  4 H 2.27
67 Pm 0.5000 0.0000 0.5000  6 H 2.27
68 Zr 0.3750 0.6250 0.2500  8 H 2.17-2.27
69 Pm 0.5000 0.0000 0.0000  6 H 2.27
70 H 0.4177 0.7646 0.8353  1 H 1.99, 1 Zr 2.17
71 H 0.0707 0.1531 0.2354  1 H 1.99, 1 Zr 2.17
72 Pm 0.0000 0.5000 0.5000  6 H 2.27
73 H 0.2354 0.5823 0.6647  1 H 1.99, 1 Zr 2.17
74 H 0.0707 0.9176 0.3353  1 H 1.99, 1 Zr 2.17
75 Zr 0.7500 0.3750 0.1250  8 H 2.17-2.27
76 H 0.3469 0.5823 0.4176  1 H 1.99, 1 Zr 2.17
77 H 0.9293 0.0824 0.6647  1 H 1.99, 1 Zr 2.17
78 H 0.1647 0.7354 0.5823  1 H 1.99, 1 Zr 2.17
79 H 0.9293 0.8469 0.7646  1 H 1.99, 1 Zr 2.17
80 H 0.6531 0.2354 0.5707  1 H 1.99, 1 Zr 2.17

Properties
The space-group type is No. 230.

PmZrH4 | PBE | relaxed

abc: 3.5017 3.5018 5.3466
angles: 90.00 90.00 90.00
Closest atoms and distances in Å follow each position.
Element x y z (fractional)
1 H 0.5013 0.9973 0.2822  2 Zr 2.10, 1 H 2.31, 2 Pm 2.32
2 H 0.5013 0.9973 0.7141  2 Zr 2.10, 1 H 2.31, 2 Pm 2.32
3 H 0.0013 0.4973 0.2822  2 Zr 2.10, 1 H 2.31, 2 Pm 2.32
4 Zr 0.0013 0.9973 0.4981  8 H 2.10
5 H 0.0013 0.4973 0.7141  2 Zr 2.10, 1 H 2.31, 2 Pm 2.32
6 Pm 0.5013 0.4973 0.9981  8 H 2.32

Properties
The space-group type is No. 123.

PmZr3H | PBE | relaxed

abc: 4.6623 4.6623 4.6623
angles: 90.00 90.00 90.00
Closest atoms and distances in Å follow each position.
Element x y z (fractional)
1 Zr 0.0000 0.0000 0.5000  2 H 2.33
2 H 0.0000 0.0000 0.0000  6 Zr 2.33
3 Pm 0.5000 0.5000 0.5000  12 Zr 3.30
4 Zr 0.5000 0.0000 0.0000  2 H 2.33
5 Zr 0.0000 0.5000 0.0000  2 H 2.33

Properties
The space-group type is No. 221.

Pm3Zr5H12 | PBE | relaxed

abc: 10.9020 10.9020 10.9020
angles: 109.47 109.47 109.47
Closest atoms and distances in Å follow each position.
Element x y z (fractional)
1 Pm 0.7500 0.8750 0.6250  8 H 2.30-2.37
2 H 0.0506 0.6366 0.7140  2 Zr 2.05-2.06, 1 Pm 2.30
3 H 0.7140 0.1366 0.0506  2 Zr 2.05-2.06, 1 Pm 2.30
4 H 0.7860 0.4494 0.3634  2 Zr 2.05-2.06, 1 Pm 2.30
5 Zr 0.5000 0.0000 0.0000  6 H 2.06
6 H 0.4140 0.0506 0.3366  2 Zr 2.05-2.06, 1 Pm 2.30
7 H 0.6366 0.0506 0.2140  2 Zr 2.05-2.06, 1 Pm 2.30
8 Pm 0.8750 0.7500 0.1250  8 H 2.30-2.37
9 Zr 0.0000 0.0000 0.0000  6 H 2.06
10 H 0.3366 0.7860 0.4225  2 Zr 2.05-2.06, 1 Pm 2.30
11 H 0.0860 0.1634 0.4494  2 Zr 2.05-2.06, 1 Pm 2.30
12 Zr 0.5000 0.5000 0.5000  6 H 2.06
13 H 0.1634 0.0860 0.9494  2 Zr 2.05-2.06, 1 Pm 2.30
14 H 0.0775 0.9140 0.3634  2 Zr 2.05-2.06, 1 Pm 2.30
15 H 0.4494 0.7860 0.8634  2 Zr 2.05-2.06, 1 Pm 2.30
16 H 0.0860 0.9225 0.1366  2 Zr 2.05-2.06, 1 Pm 2.30
17 Pm 0.8750 0.1250 0.2500  8 H 2.30-2.37
18 H 0.4494 0.6634 0.0860  2 Zr 2.05-2.06, 1 Pm 2.30
19 H 0.9225 0.0860 0.6366  2 Zr 2.05-2.06, 1 Pm 2.30
20 H 0.4225 0.2860 0.3366  2 Zr 2.05-2.06, 1 Pm 2.30
21 H 0.2860 0.8634 0.9494  2 Zr 2.05-2.06, 1 Pm 2.30
22 Pm 0.6250 0.2500 0.3750  8 H 2.30-2.37
23 H 0.1366 0.4225 0.0860  2 Zr 2.05-2.06, 1 Pm 2.30
24 Zr 0.0000 0.5000 0.0000  6 H 2.06
25 Zr 0.7500 0.1250 0.8750  4 H 2.05
26 H 0.0506 0.4140 0.8366  2 Zr 2.05-2.06, 1 Pm 2.30
27 H 0.5506 0.3366 0.9140  2 Zr 2.05-2.06, 1 Pm 2.30
28 H 0.5860 0.6366 0.4225  2 Zr 2.05-2.06, 1 Pm 2.30
29 Pm 0.1250 0.2500 0.8750  8 H 2.30-2.37
30 Zr 0.0000 0.5000 0.5000  6 H 2.06
31 Zr 0.3750 0.1250 0.7500  4 H 2.05
32 H 0.0775 0.1634 0.2140  2 Zr 2.05-2.06, 1 Pm 2.30
33 Pm 0.6250 0.3750 0.7500  8 H 2.30-2.37
34 H 0.3634 0.9494 0.7860  2 Zr 2.05-2.06, 1 Pm 2.30
35 Pm 0.1250 0.8750 0.7500  8 H 2.30-2.37
36 Zr 0.2500 0.3750 0.6250  4 H 2.05
37 H 0.4140 0.3634 0.5775  2 Zr 2.05-2.06, 1 Pm 2.30
38 H 0.3634 0.4140 0.0775  2 Zr 2.05-2.06, 1 Pm 2.30
39 Zr 0.3750 0.2500 0.1250  4 H 2.05
40 Zr 0.5000 0.0000 0.5000  6 H 2.06
41 H 0.6634 0.4494 0.5860  2 Zr 2.05-2.06, 1 Pm 2.30
42 H 0.8366 0.9225 0.2860  2 Zr 2.05-2.06, 1 Pm 2.30
43 H 0.9494 0.5860 0.1634  2 Zr 2.05-2.06, 1 Pm 2.30
44 Zr 0.7500 0.6250 0.3750  4 H 2.05
45 Zr 0.8750 0.2500 0.6250  4 H 2.05
46 H 0.9225 0.8366 0.7860  2 Zr 2.05-2.06, 1 Pm 2.30
47 Pm 0.7500 0.3750 0.1250  8 H 2.30-2.37
48 H 0.8634 0.2860 0.4494  2 Zr 2.05-2.06, 1 Pm 2.30
49 H 0.8634 0.5775 0.9140  2 Zr 2.05-2.06, 1 Pm 2.30
50 H 0.2140 0.5506 0.6366  2 Zr 2.05-2.06, 1 Pm 2.30
51 H 0.5860 0.9494 0.6634  2 Zr 2.05-2.06, 1 Pm 2.30
52 H 0.6366 0.5860 0.9225  2 Zr 2.05-2.06, 1 Pm 2.30
53 Zr 0.8750 0.6250 0.7500  4 H 2.05
54 H 0.9140 0.0775 0.8634  2 Zr 2.05-2.06, 1 Pm 2.30
55 H 0.9140 0.8366 0.5506  2 Zr 2.05-2.06, 1 Pm 2.30
56 H 0.1366 0.7140 0.5506  2 Zr 2.05-2.06, 1 Pm 2.30
57 H 0.5775 0.7140 0.6634  2 Zr 2.05-2.06, 1 Pm 2.30
58 H 0.5506 0.2140 0.1366  2 Zr 2.05-2.06, 1 Pm 2.30
59 Pm 0.3750 0.7500 0.6250  8 H 2.30-2.37
60 Zr 0.1250 0.3750 0.2500  4 H 2.05
61 H 0.5775 0.8634 0.4140  2 Zr 2.05-2.06, 1 Pm 2.30
62 Zr 0.2500 0.8750 0.1250  4 H 2.05
63 Zr 0.5000 0.5000 0.0000  6 H 2.06
64 Pm 0.3750 0.6250 0.2500  8 H 2.30-2.37
65 H 0.7140 0.5775 0.1634  2 Zr 2.05-2.06, 1 Pm 2.30
66 H 0.2860 0.4225 0.8366  2 Zr 2.05-2.06, 1 Pm 2.30
67 Zr 0.1250 0.7500 0.3750  4 H 2.05
68 Zr 0.0000 0.0000 0.5000  6 H 2.06
69 Pm 0.2500 0.1250 0.3750  8 H 2.30-2.37
70 H 0.2140 0.6634 0.0775  2 Zr 2.05-2.06, 1 Pm 2.30
71 Zr 0.6250 0.8750 0.2500  4 H 2.05
72 H 0.9494 0.3634 0.2860  2 Zr 2.05-2.06, 1 Pm 2.30
73 H 0.4225 0.1366 0.5860  2 Zr 2.05-2.06, 1 Pm 2.30
74 H 0.6634 0.2140 0.5775  2 Zr 2.05-2.06, 1 Pm 2.30
75 Pm 0.2500 0.6250 0.8750  8 H 2.30-2.37
76 H 0.8366 0.9140 0.0506  2 Zr 2.05-2.06, 1 Pm 2.30
77 H 0.1634 0.0775 0.7140  2 Zr 2.05-2.06, 1 Pm 2.30
78 H 0.3366 0.5506 0.4140  2 Zr 2.05-2.06, 1 Pm 2.30
79 H 0.7860 0.3366 0.9225  2 Zr 2.05-2.06, 1 Pm 2.30
80 Zr 0.6250 0.7500 0.8750  4 H 2.05

Properties
The space-group type is No. 230.

Pm2ZrH8 | PBE | relaxed

abc: 3.7719 4.7427 6.6729
angles: 110.82 106.42 90.00
Closest atoms and distances in Å follow each position.
Element x y z (fractional)
1 Zr 0.5000 0.0000 0.0000  8 H 2.03-2.18
2 H 0.7930 0.7930 0.5861  6 H 2.19-2.35, 4 Pm 2.40-2.42
3 H 0.0000 0.7690 0.0000  2 Zr 2.18, 1 H 2.19, 2 Pm 2.37
4 H 0.2070 0.2070 0.4139  6 H 2.19-2.35, 4 Pm 2.40-2.42
5 Pm 0.1684 0.6684 0.3367  10 H 2.27-2.42
6 H 0.0000 0.2310 0.0000  2 Zr 2.18, 1 H 2.19, 2 Pm 2.37
7 H 0.6397 0.3841 0.2793  1 Zr 2.03, 1 H 2.19, 2 Pm 2.27
8 H 0.3603 0.1047 0.7207  1 Zr 2.03, 1 H 2.19, 2 Pm 2.27
9 Pm 0.8316 0.3316 0.6633  10 H 2.27-2.42
10 H 0.6397 0.8953 0.2793  1 Zr 2.03, 1 H 2.19, 2 Pm 2.27
11 H 0.3603 0.6159 0.7207  1 Zr 2.03, 1 H 2.19, 2 Pm 2.27

Properties
The space-group type is No. 71.

PmZr2H8 | PBE | relaxed

abc: 3.2696 5.7431 5.9927
angles: 118.63 105.83 90.00
Closest atoms and distances in Å follow each position.
Element x y z (fractional)
1 Zr 0.8255 0.3255 0.6511  10 H 2.10-2.22
2 Pm 0.5000 0.0000 0.0000  12 H 2.28-2.42
3 H 0.6666 0.4364 0.3332  3 H 2.03-2.26, 3 Zr 2.10-2.22, 1 Pm 2.28
4 H 0.0000 0.7050 0.0000  2 Zr 2.10, 5 H 2.34-2.35, 2 Pm 2.35
5 Zr 0.1745 0.6745 0.3489  10 H 2.10-2.22
6 H 0.3334 0.5636 0.6668  3 H 2.03-2.26, 3 Zr 2.10-2.22, 1 Pm 2.28
7 H 0.0000 0.2950 0.0000  2 Zr 2.10, 5 H 2.34-2.35, 2 Pm 2.35
8 H 0.3334 0.1032 0.6668  3 H 2.03-2.26, 3 Zr 2.10-2.22, 1 Pm 2.28
9 H 0.1787 0.1787 0.3574  6 H 2.03-2.26, 2 Zr 2.20
10 H 0.8213 0.8213 0.6426  6 H 2.03-2.26, 2 Zr 2.20
11 H 0.6666 0.8968 0.3332  3 H 2.03-2.26, 3 Zr 2.10-2.22, 1 Pm 2.28

Properties
The space-group type is No. 71.

Pr2H | PBE | relaxed

abc: 3.6767 3.6767 5.2618
angles: 90.00 90.00 90.00
Closest atoms and distances in Å follow each position.
Element x y z (fractional)
1 H 0.5000 0.5000 0.0000  6 Pr 2.60-2.63
2 Pr 0.0000 0.0000 0.0000  4 H 2.60
3 Pr 0.5000 0.5000 0.5000  2 H 2.63

Properties
The space-group type is No. 123.

PrH2 | PBE | relaxed

abc: 4.7981 4.7981 4.7981
angles: 60.00 60.00 60.00
Closest atoms and distances in Å follow each position.
Element x y z (fractional)
1 H 0.6250 0.6250 0.1250  6 H 2.40
2 Pr 0.2500 0.2500 0.2500  12 H 2.81, 4 Pr 2.94
3 H 0.6250 0.1250 0.6250  6 H 2.40
4 H 0.1250 0.6250 0.6250  6 H 2.40
5 Pr 0.0000 0.0000 0.0000  12 H 2.81, 4 Pr 2.94
6 H 0.6250 0.6250 0.6250  6 H 2.40

Properties
The space-group type is No. 227.

Q: Which size of the total moment values were calculated for the entries above? A: 0.00; 0.00; 0.00; 0.00; 0.00; 0.00; 0.00; 0.00; 0.24, in Bohr magnetons per cell.
Q: Which D(E_F) values were calculated for the entries above? A: 0.4; 33.7; 1.4; 8.3; 44.5; 2.5; 2.2; 2.2; 4.9, in states/eV/cell.
Q: Which E values were calculated for the entries above? A: -3.089; -4.843; -5.046; -6.744; -5.290; -4.572; -4.838; -4.585; -3.222, in eV per atom.